Record 1
Here is a PBEsol-optimized structure of LiAg3 from Alexandria. Energies are from SCAN.

Symmetry: R-3m, No. 166
Formation enthalpy at 0 K in eV/atom: -0.078
Spin magnetization in μB/f.u.: 0.00

Cell lengths 2.8642, 2.8642, 9.2412 Å; angles 81.08, 81.08, 60.00 degrees
Sites, in units of the cell vectors:
Li (0.0000, 0.0000, 0.0000)
Ag (0.7473, 0.7473, 0.7581)
Ag (0.5000, 0.5000, 0.5000)
Ag (0.2527, 0.2527, 0.2419)

---

Record 2
Here is a PBEsol-optimized structure of ScSiPb2 from Alexandria. Energies are from SCAN.

Symmetry: I4/mmm, No. 139
Raw formation energy in kJ/mol of formula units: 5
Spin magnetization in μB/f.u.: 0.00

Cell lengths 4.2831, 4.2831, 5.9015 Å; angles 111.28, 111.28, 90.00 degrees
Sites, in units of the cell vectors:
Si (0.0000, 0.0000, 0.0000)
Sc (0.5000, 0.5000, 0.0000)
Pb (0.2500, 0.7500, 0.5000)
Pb (0.7500, 0.2500, 0.5000)

---

Record 3
Here is a PBEsol-optimized structure of LaScTl2 from Alexandria. Energies are from SCAN.

Symmetry: Pmm2, No. 25
Formation enthalpy at 0 K in eV/atom: -0.255
Spin magnetization in μB/f.u.: 0.00

Cell lengths 3.6295, 4.5221, 6.6428 Å; angles 90.00, 90.00, 90.00 degrees
Sites, in units of the cell vectors:
Sc (0.5000, 0.5000, 0.7966)
Tl (0.5000, 0.5000, 0.2458)
Tl (0.0000, 0.0000, 0.9692)
La (0.0000, 0.0000, 0.4884)